Record 1
## LaSmDy6 (PBE)

Data for a relaxed structure of LaSmDy6.

Properties
Spin magnetization in μB/cell: 0.00
ΔH_f (0 K) in eV/atom: 0.03
Crystal system: tetragonal
Excess energy over the best structure of this formula in the dataset in eV/atom: 0.0000
D(E_F) in states/eV/f.u.: 11.95

abc: 5.0643 5.0643 10.1239
angles: 90.00 90.00 90.00
Space group P4/mmm (No. 123)
Symmetry-distinct sites (fractional):
La  0.0000  0.0000  0.0000 (multiplicity 1)
Sm  0.0000  0.0000  0.5000 (multiplicity 1)
Dy  0.0000  0.5000  0.2529 (multiplicity 4)
Dy  0.5000  0.5000  0.0000 (multiplicity 1)
Dy  0.5000  0.5000  0.5000 (multiplicity 1)



Record 2
## Na3Ag2Hg4 (PBE)

Data for a relaxed structure of Na3Ag2Hg4.

Properties
Spin magnetization in μB/cell: 0.00
ΔH_f (0 K) in eV/atom: -0.16
Crystal system: monoclinic
Excess energy over the best structure of this formula in the dataset in eV/atom: 0.0000
D(E_F) in states/eV/f.u.: 2.19

abc: 11.0018 4.9844 9.2829
angles: 90.00 121.60 90.00
Space group C2/m (No. 12)
Symmetry-distinct sites (fractional):
Na  0.0000  0.0000  0.0000 (multiplicity 2)
Na  0.1636  0.5000  0.6713 (multiplicity 4)
Ag  0.1099  0.5000  0.2783 (multiplicity 4)
Hg  0.0791  0.0000  0.4093 (multiplicity 4)
Hg  0.1939  0.5000  0.0338 (multiplicity 4)



Record 3
## NpTl2P2Pt7 (PBE)

Data for a relaxed structure of NpTl2P2Pt7.

Properties
Spin magnetization in μB/cell: 6.89
ΔH_f (0 K) in eV/atom: -0.39
Crystal system: monoclinic
D(E_F) in states/eV/f.u.: 14.03

abc: 5.6409 5.6364 15.4533
angles: 90.00 100.17 90.00
Space group C2/m (No. 12)
Symmetry-distinct sites (fractional):
Np  0.0000  0.0000  0.0000 (multiplicity 2)
Tl  0.2091  0.0000  0.4228 (multiplicity 4)
P  0.1149  0.5000  0.2359 (multiplicity 4)
Pt  0.0000  0.5000  0.0000 (multiplicity 2)
Pt  0.1774  0.2501  0.8508 (multiplicity 8)
Pt  0.1898  0.5000  0.3833 (multiplicity 4)



| no. | raw total energy (eV per cell) |
| --- | --- |
| 1 | -37.1 |
| 2 | -24.5 |
| 3 | -150.9 |